(1)
Material: AlIn2Mo
Method: DFT, PBE
State: optimized geometry

Properties
total magnetization: 0.0000 μB per atom
formation energy: 0.369 eV/atom

abc: 3.0221 3.0221 30.3035
angles: 90.00 90.00 120.00
Closest atoms and distances in Å follow each position.
Space group R-3m (No. 166, hexagonal axes)
Unique sites:
1 Al 0.0000 0.0000 0.0000 x3  6 Al 3.02, 6 In 3.19
2 In 0.0000 0.0000 0.2452 x6  3 Mo 2.95, 6 In 3.02, 3 Al 3.19
3 Mo 0.0000 0.0000 0.5000 x3  6 In 2.95, 6 Mo 3.02


(2)
Material: Pr12In3Pb
Method: DFT, PBE
State: optimized geometry

Properties
total magnetization: 0.0000 μB per atom
formation energy: -0.297 eV/atom

abc: 5.0274 5.0274 20.1256
angles: 90.00 90.00 90.00
Closest atoms and distances in Å follow each position.
Space group P4/mmm (No. 123)
Unique sites:
1 Pr 0.0000 0.0000 0.0000 x1  4 In 3.55, 8 Pr 3.56
2 Pr 0.0000 0.0000 0.2493 x2  8 Pr 3.55-3.56, 4 In 3.55
3 Pr 0.0000 0.0000 0.5000 x1  4 Pb 3.55, 8 Pr 3.56
4 Pr 0.0000 0.5000 0.1250 x4  8 Pr 3.55-3.56, 4 In 3.55-3.56
5 Pr 0.0000 0.5000 0.3744 x4  2 In 3.55, 8 Pr 3.55-3.56, 2 Pb 3.56
6 In 0.5000 0.5000 0.0000 x1  12 Pr 3.55-3.56
7 In 0.5000 0.5000 0.2496 x2  12 Pr 3.55
8 Pb 0.5000 0.5000 0.5000 x1  12 Pr 3.55-3.56


(3)
Material: Cs2Cl2F
Method: DFT, PBE
State: optimized geometry

Properties
total magnetization: 0.2203 μB per atom
energy relative to the lowest polymorph listed for this composition: 0.000 eV/atom

abc: 8.2445 8.2445 5.4017
angles: 90.00 90.00 90.00
Closest atoms and distances in Å follow each position.
Space group P4/mbm (No. 127)
Unique sites:
1 Cs 0.1964 0.3036 0.0000 x4  2 F 2.98
2 Cl 0.1106 0.6106 0.5000 x4  1 Cl 2.58
3 F 0.0000 0.0000 0.0000 x2  4 Cs 2.98


(4)
Material: DyYCdCo
Method: DFT, PBE
State: optimized geometry

Properties
total magnetization: 0.1284 μB per atom
energy relative to the lowest polymorph listed for this composition: 0.000 eV/atom
formation energy: -0.254 eV/atom

abc: 3.4393 3.4393 7.6213
angles: 90.00 90.00 90.00
Closest atoms and distances in Å follow each position.
Space group P4mm (No. 99)
Unique sites:
1 Dy 0.0000 0.0000 0.0000 x1  4 Co 2.91, 1 Y 3.25
2 Y 0.0000 0.0000 0.5736 x1  4 Co 2.94, 1 Dy 3.25, 4 Cd 3.27
3 Cd 0.5000 0.5000 0.2862 x1  4 Dy 3.27, 4 Y 3.27, 4 Cd 3.44
4 Co 0.5000 0.5000 0.7900 x1  4 Dy 2.91, 4 Y 2.94


- Number 3 is which compound?
  Cs2Cl2F


- What is the formula in the third record?
  Cs2Cl2F